Run i
# TiBe9Mo2 PBE optimized geometry
# * density of states at the Fermi level: 3.22 states/eV/f.u.
# * total moment: 0.0 Bohr magnetons per cell
# * V: 237.4 Å³ per cell
data_TiBe9Mo2
_symmetry_space_group_name_H-M 'P 63/m m c'
_symmetry_Int_Tables_number 194
_symmetry_space_group_name_Hall '-P 6c 2c'
_cell_length_a 4.4353
_cell_length_b 4.4353
_cell_length_c 13.9370
_cell_angle_alpha 90.00
_cell_angle_beta 90.00
_cell_angle_gamma 120.00
loop_
_atom_site_label
_atom_site_fract_x
_atom_site_fract_y
_atom_site_fract_z
_atom_site_occupancy
Ti1 0.3333 0.6667 0.2500 1
Be1 0.0000 0.0000 0.0000 1
Be2 0.0000 0.0000 0.2500 1
Be3 0.1692 0.3384 0.6262 1
Be4 0.3333 0.6667 0.7500 1
Mo1 0.3333 0.6667 0.0345 1



Run ii
# TiBe9Mo2 PBE optimized geometry
# * density of states at the Fermi level: 3.77 states/eV/f.u.
# * total moment: 0.0 Bohr magnetons per cell
# * V: 355.7 Å³ per cell
data_TiBe9Mo2
_symmetry_space_group_name_H-M 'R -3 m'
_symmetry_Int_Tables_number 166
_symmetry_space_group_name_Hall '-R 3 2"'
_cell_length_a 4.4358
_cell_length_b 4.4358
_cell_length_c 20.8713
_cell_angle_alpha 90.00
_cell_angle_beta 90.00
_cell_angle_gamma 120.00
loop_
_atom_site_label
_atom_site_fract_x
_atom_site_fract_y
_atom_site_fract_z
_atom_site_occupancy
Ti1 0.0000 0.0000 0.0000 1
Be1 0.0000 0.0000 0.3340 1
Be2 0.0000 0.0000 0.5000 1
Be3 0.0039 0.5020 0.9172 1
Mo1 0.0000 0.0000 0.1438 1



Least stable: run i



Run i
# Be2TlMo PBE optimized geometry
# * density of states at the Fermi level: 2.75 states/eV/f.u.
# * total moment: 0.0 Bohr magnetons per cell
# * V: 59.9 Å³ per cell
data_Be2TlMo
_symmetry_space_group_name_H-M 'P 4/m m m'
_symmetry_Int_Tables_number 123
_symmetry_space_group_name_Hall '-P 4 2'
_cell_length_a 3.201
_cell_length_b 3.201
_cell_length_c 5.842
_cell_angle_alpha 90.00
_cell_angle_beta 90.00
_cell_angle_gamma 90.00
loop_
_atom_site_label
_atom_site_fract_x
_atom_site_fract_y
_atom_site_fract_z
_atom_site_occupancy
Be1 0.000 0.000 0.173 1
Tl1 0.500 0.500 0.500 1
Mo1 0.500 0.500 0.000 1



Run ii
# Be2TlMo PBE optimized geometry
# * density of states at the Fermi level: 1.53 states/eV/f.u.
# * total moment: 0.0 Bohr magnetons per cell
# * V: 189.2 Å³ per cell
data_Be2TlMo
_symmetry_space_group_name_H-M 'R -3 m'
_symmetry_Int_Tables_number 166
_symmetry_space_group_name_Hall '-R 3 2"'
_cell_length_a 2.9419
_cell_length_b 2.9419
_cell_length_c 25.2400
_cell_angle_alpha 90.00
_cell_angle_beta 90.00
_cell_angle_gamma 120.00
loop_
_atom_site_label
_atom_site_fract_x
_atom_site_fract_y
_atom_site_fract_z
_atom_site_occupancy
Be1 0.0000 0.0000 0.2422 1
Tl1 0.0000 0.0000 0.0000 1
Mo1 0.0000 0.0000 0.5000 1



Least stable: run ii



Run i
# Be2TlMo PBE optimized geometry
# * density of states at the Fermi level: 1.28 states/eV/f.u.
# * total moment: 0.0 Bohr magnetons per cell
# * V: 113.2 Å³ per cell
data_Be2TlMo
_symmetry_space_group_name_H-M 'C 1 m 1'
_symmetry_Int_Tables_number 8
_symmetry_space_group_name_Hall 'C -2y'
_cell_length_a 9.410
_cell_length_b 2.863
_cell_length_c 4.422
_cell_angle_alpha 90.00
_cell_angle_beta 108.18
_cell_angle_gamma 90.00
loop_
_atom_site_label
_atom_site_fract_x
_atom_site_fract_y
_atom_site_fract_z
_atom_site_occupancy
Be1 0.000 0.000 0.000 1
Be2 0.204 0.500 0.304 1
Tl1 0.469 0.000 0.491 1
Mo1 0.252 0.000 0.859 1



Run ii
# Be2TlMo PBE optimized geometry
# * density of states at the Fermi level: 4.07 states/eV/f.u.
# * total moment: 2.5 Bohr magnetons per cell
# * V: 240.9 Å³ per cell
data_Be2TlMo
_symmetry_space_group_name_H-M 'F -4 3 m'
_symmetry_Int_Tables_number 216
_symmetry_space_group_name_Hall 'F -4 2 3'
_cell_length_a 6.222
_cell_length_b 6.222
_cell_length_c 6.222
_cell_angle_alpha 90.00
_cell_angle_beta 90.00
_cell_angle_gamma 90.00
loop_
_atom_site_label
_atom_site_fract_x
_atom_site_fract_y
_atom_site_fract_z
_atom_site_occupancy
Be1 0.000 0.000 0.000 1
Be2 0.250 0.250 0.250 1
Tl1 0.000 0.000 0.500 1
Mo1 0.250 0.250 0.750 1



Run iii
# Be2TlMo PBE optimized geometry
# * density of states at the Fermi level: 1.39 states/eV/f.u.
# * total moment: 0.0 Bohr magnetons per cell
# * V: 60.1 Å³ per cell
data_Be2TlMo
_symmetry_space_group_name_H-M 'P m m 2'
_symmetry_Int_Tables_number 25
_symmetry_space_group_name_Hall 'P 2 -2'
_cell_length_a 2.869
_cell_length_b 3.766
_cell_length_c 5.561
_cell_angle_alpha 90.00
_cell_angle_beta 90.00
_cell_angle_gamma 90.00
loop_
_atom_site_label
_atom_site_fract_x
_atom_site_fract_y
_atom_site_fract_z
_atom_site_occupancy
Be1 0.000 0.000 0.000 1
Be2 0.000 0.500 0.189 1
Tl1 0.000 0.000 0.499 1
Mo1 0.500 0.500 0.828 1



Least stable: run ii



Run i
# BeTlMo3 PBE optimized geometry
# * density of states at the Fermi level: 7.19 states/eV/f.u.
# * total moment: 0.0 Bohr magnetons per cell
# * V: 81.2 Å³ per cell
data_BeTlMo3
_symmetry_space_group_name_H-M 'P m -3 m'
_symmetry_Int_Tables_number 221
_symmetry_space_group_name_Hall '-P 4 2 3'
_cell_length_a 4.330
_cell_length_b 4.330
_cell_length_c 4.330
_cell_angle_alpha 90.00
_cell_angle_beta 90.00
_cell_angle_gamma 90.00
loop_
_atom_site_label
_atom_site_fract_x
_atom_site_fract_y
_atom_site_fract_z
_atom_site_occupancy
Be1 0.000 0.000 0.000 1
Tl1 0.500 0.500 0.500 1
Mo1 0.000 0.000 0.500 1



Run ii
# BeTlMo3 PBE optimized geometry
# * density of states at the Fermi level: 10.62 states/eV/f.u.
# * total moment: 0.0 Bohr magnetons per cell
# * V: 122.1 Å³ per cell
data_BeTlMo3
_symmetry_space_group_name_H-M 'P m -3 m'
_symmetry_Int_Tables_number 221
_symmetry_space_group_name_Hall '-P 4 2 3'
_cell_length_a 4.962
_cell_length_b 4.962
_cell_length_c 4.962
_cell_angle_alpha 90.00
_cell_angle_beta 90.00
_cell_angle_gamma 90.00
loop_
_atom_site_label
_atom_site_fract_x
_atom_site_fract_y
_atom_site_fract_z
_atom_site_occupancy
Be1 0.000 0.000 0.000 1
Tl1 0.500 0.500 0.500 1
Mo1 0.000 0.500 0.500 1



Least stable: run ii



Run i
# BeVMo3 PBE optimized geometry
# * density of states at the Fermi level: 6.05 states/eV/f.u.
# * total moment: 0.7 Bohr magnetons per cell
# * V: 75.3 Å³ per cell
data_BeVMo3
_symmetry_space_group_name_H-M 'P m -3 m'
_symmetry_Int_Tables_number 221
_symmetry_space_group_name_Hall '-P 4 2 3'
_cell_length_a 4.223
_cell_length_b 4.223
_cell_length_c 4.223
_cell_angle_alpha 90.00
_cell_angle_beta 90.00
_cell_angle_gamma 90.00
loop_
_atom_site_label
_atom_site_fract_x
_atom_site_fract_y
_atom_site_fract_z
_atom_site_occupancy
Be1 0.000 0.000 0.000 1
V1 0.500 0.500 0.500 1
Mo1 0.000 0.000 0.500 1



Run ii
# BeVMo3 PBE optimized geometry
# * density of states at the Fermi level: 5.58 states/eV/f.u.
# * total moment: 0.0 Bohr magnetons per cell
# * V: 90.4 Å³ per cell
data_BeVMo3
_symmetry_space_group_name_H-M 'P m -3 m'
_symmetry_Int_Tables_number 221
_symmetry_space_group_name_Hall '-P 4 2 3'
_cell_length_a 4.487
_cell_length_b 4.487
_cell_length_c 4.487
_cell_angle_alpha 90.00
_cell_angle_beta 90.00
_cell_angle_gamma 90.00
loop_
_atom_site_label
_atom_site_fract_x
_atom_site_fract_y
_atom_site_fract_z
_atom_site_occupancy
Be1 0.000 0.000 0.000 1
V1 0.500 0.500 0.500 1
Mo1 0.000 0.500 0.500 1



Least stable: run ii



Run i
# Be3VMo PBE optimized geometry
# * density of states at the Fermi level: 7.15 states/eV/f.u.
# * total moment: 2.1 Bohr magnetons per cell
# * V: 73.2 Å³ per cell
data_Be3VMo
_symmetry_space_group_name_H-M 'P m -3 m'
_symmetry_Int_Tables_number 221
_symmetry_space_group_name_Hall '-P 4 2 3'
_cell_length_a 4.182
_cell_length_b 4.182
_cell_length_c 4.182
_cell_angle_alpha 90.00
_cell_angle_beta 90.00
_cell_angle_gamma 90.00
loop_
_atom_site_label
_atom_site_fract_x
_atom_site_fract_y
_atom_site_fract_z
_atom_site_occupancy
Be1 0.000 0.000 0.500 1
V1 0.500 0.500 0.500 1
Mo1 0.000 0.000 0.000 1



Run ii
# Be3VMo PBE optimized geometry
# * density of states at the Fermi level: 4.21 states/eV/f.u.
# * total moment: 0.4 Bohr magnetons per cell
# * V: 62.2 Å³ per cell
data_Be3VMo
_symmetry_space_group_name_H-M 'P m -3 m'
_symmetry_Int_Tables_number 221
_symmetry_space_group_name_Hall '-P 4 2 3'
_cell_length_a 3.962
_cell_length_b 3.962
_cell_length_c 3.962
_cell_angle_alpha 90.00
_cell_angle_beta 90.00
_cell_angle_gamma 90.00
loop_
_atom_site_label
_atom_site_fract_x
_atom_site_fract_y
_atom_site_fract_z
_atom_site_occupancy
Be1 0.000 0.000 0.500 1
V1 0.000 0.000 0.000 1
Mo1 0.500 0.500 0.500 1



Least stable: run ii